(1)
First-principles (PBE) data for crystalline Ba2Pb3Au at its relaxed geometry, as listed in the Alexandria database.

Structure (POSCAR):
```
Ba2Pb3Au
1.0
7.116 0.254 0.000
-0.185 7.118 0.000
-3.466 -3.686 8.750
Pb Au Ba
6 2 4
direct
0.172 0.172 0.344 Pb
0.828 0.828 0.656 Pb
0.654 0.654 0.828 Pb
0.174 0.174 0.828 Pb
0.346 0.346 0.172 Pb
0.826 0.826 0.172 Pb
0.667 0.667 0.335 Au
0.333 0.333 0.665 Au
0.750 0.250 0.500 Ba
0.250 0.750 0.500 Ba
0.248 0.752 0.000 Ba
0.752 0.248 0.000 Ba
```

Computed properties:
- Energy: -21.118 eV per formula unit
- D(E_F): 6.20 states/eV per cell
- Volume: 444 Å³/cell
- ΔE to the lowest computed polymorph: 0.012 eV/atom
- Crystal system: orthorhombic

(2)
First-principles (PBE) data for crystalline BaPb2Au3 at its relaxed geometry, as listed in the Alexandria database.

Structure (POSCAR):
```
BaPb2Au3
1.0
6.892 0.000 0.000
0.000 6.897 -1.628
0.000 0.508 7.069
Au Pb Ba
6 4 2
direct
0.250 0.463 0.191 Au
0.750 0.928 0.928 Au
0.250 0.191 0.463 Au
0.750 0.537 0.809 Au
0.250 0.072 0.072 Au
0.750 0.809 0.537 Au
0.500 0.792 0.208 Pb
0.500 0.208 0.792 Pb
0.000 0.208 0.792 Pb
0.000 0.792 0.208 Pb
0.250 0.688 0.688 Ba
0.750 0.312 0.312 Ba
```

Computed properties:
- Energy: -21.331 eV per formula unit
- D(E_F): 5.59 states/eV per cell
- Volume: 342 Å³/cell
- Crystal system: orthorhombic

(3)
First-principles (PBE) data for crystalline Ba3Pb2Au at its relaxed geometry, as listed in the Alexandria database.

Structure (POSCAR):
```
Ba3Pb2Au
1.0
-6.943 3.529 0.623
-0.307 0.197 7.804
1.725 8.643 2.416
Pb Ba Au
4 6 2
direct
0.930 0.454 0.355 Pb
0.454 0.930 0.855 Pb
0.070 0.546 0.645 Pb
0.546 0.070 0.145 Pb
0.758 0.883 0.472 Ba
0.883 0.758 0.972 Ba
0.242 0.117 0.528 Ba
0.117 0.242 0.028 Ba
0.638 0.362 0.750 Ba
0.362 0.638 0.250 Ba
0.321 0.679 0.750 Au
0.679 0.321 0.250 Au
```

Computed properties:
- Energy: -19.366 eV per formula unit
- D(E_F): 6.36 states/eV per cell
- Volume: 513 Å³/cell
- Crystal system: monoclinic

(4)
First-principles (PBE) data for crystalline BaPb2Au at its relaxed geometry, as listed in the Alexandria database.

Structure (POSCAR):
```
BaPb2Au
1.0
-2.213 1.571 4.913
1.474 -2.657 4.720
3.191 2.609 3.810
Pb Au Ba
2 1 1
direct
0.250 0.250 0.250 Pb
0.000 0.000 0.000 Pb
0.500 0.500 0.500 Au
0.750 0.750 0.750 Ba
```

Computed properties:
- Energy: -13.893 eV per formula unit
- D(E_F): 3.02 states/eV per cell
- Volume: 125 Å³/cell
- Crystal system: cubic

(5)
First-principles (PBE) data for crystalline Ba3PbAu at its relaxed geometry, as listed in the Alexandria database.

Structure (POSCAR):
```
Ba3PbAu
1.0
4.670 -0.001 -0.001
0.002 10.219 0.105
0.003 3.651 9.546
Ba Au Pb
6 2 2
direct
0.863 0.771 0.442 Ba
0.863 0.618 0.051 Ba
0.363 0.355 0.408 Ba
0.363 0.033 0.085 Ba
0.864 0.998 0.670 Ba
0.864 0.390 0.823 Ba
0.364 0.194 0.746 Au
0.363 0.694 0.246 Au
0.863 0.194 0.246 Pb
0.363 0.694 0.747 Pb
```

Computed properties:
- Energy: -15.188 eV per formula unit
- D(E_F): 7.89 states/eV per cell
- Volume: 454 Å³/cell
- ΔE to the lowest computed polymorph: 0.000 eV/atom
- Crystal system: orthorhombic

(6)
First-principles (PBE) data for crystalline Ba2PbAu3 at its relaxed geometry, as listed in the Alexandria database.

Structure (POSCAR):
```
Ba2PbAu3
1.0
4.567 0.000 -1.216
-0.336 4.448 -1.264
0.058 0.261 9.405
Au Ba Pb
3 2 1
direct
0.549 0.549 0.098 Au
0.292 0.792 0.584 Au
0.706 0.706 0.413 Au
0.861 0.361 0.722 Ba
0.131 0.131 0.261 Ba
0.461 0.961 0.922 Pb
```

Computed properties:
- Energy: -21.094 eV per formula unit
- D(E_F): 2.97 states/eV per cell
- Volume: 193 Å³/cell
- Crystal system: orthorhombic

Calculated formation enthalpy at 0 K, -478.3; -360.0; -484.0; -319.2; -486.9; -618.0 meV per atom (same order as the records).